The following is a PBE-GGA calculation of a geometry-optimized YTl2Zn structure, from the Alexandria database.

## Properties
Total energy: -3.148 eV per atom

Cell and atoms, written as POSCAR:
```
YTl2Zn
1.0
0.000 3.717 3.717
3.717 0.000 3.717
3.717 3.717 0.000
Y Tl Zn
1 2 1
direct
0.000 0.000 0.000
0.250 0.250 0.250
0.500 0.500 0.500
0.750 0.750 0.750
```

---

The following is a PBE-GGA calculation of a geometry-optimized Cs2Bi2SbO6 structure, from the Alexandria database.

## Properties
Formation energy without anion corrections: -1.2107 eV per atom

Cell and atoms, written as POSCAR:
```
Cs2Bi2SbO6
1.0
5.727 -3.287 0.000
5.727 3.287 0.000
-3.832 0.000 6.250
Cs Bi Sb O
2 2 1 6
direct
0.207 0.207 0.120
0.793 0.793 0.880
0.409 0.409 0.728
0.591 0.591 0.272
0.000 0.000 0.500
0.207 0.207 0.698
0.209 0.784 0.699
0.216 0.791 0.301
0.784 0.209 0.699
0.791 0.216 0.301
0.793 0.793 0.302
```

---

The following is a PBE-GGA calculation of a geometry-optimized Dy3Ho3In structure, from the Alexandria database.

## Properties
Total energy: -4.436 eV per atom

Cell and atoms, written as POSCAR:
```
Dy3Ho3In
1.0
9.339 0.000 0.000
0.000 5.522 0.000
-4.668 0.000 8.095
Dy Ho In
6 6 2
direct
0.020 0.250 0.125
0.125 0.750 0.605
0.395 0.750 0.020
0.605 0.250 0.980
0.875 0.250 0.395
0.980 0.750 0.875
0.258 0.750 0.321
0.321 0.250 0.563
0.437 0.250 0.259
0.563 0.750 0.741
0.679 0.750 0.437
0.742 0.250 0.679
0.167 0.250 0.834
0.833 0.750 0.166
```

---

The following is a PBE-GGA calculation of a geometry-optimized Li2PmPO structure, from the Alexandria database.

## Properties
Formation energy without anion corrections: -1.6744 eV per atom

Cell and atoms, written as POSCAR:
```
Li2PmPO
1.0
4.077 0.000 0.000
0.000 4.077 0.000
0.000 0.000 4.809
Li Pm P O
2 1 1 1
direct
0.000 0.500 0.000
0.500 0.000 0.000
0.000 0.000 0.514
0.500 0.500 0.565
0.000 0.000 0.032
```

---

The following is a PBE-GGA calculation of a geometry-optimized ZrScBe2 structure, from the Alexandria database.

## Properties
Total energy: -5.497 eV per atom

Cell and atoms, written as POSCAR:
```
ZrScBe2
1.0
2.921 0.000 0.000
0.000 2.921 0.000
0.000 0.000 7.418
Zr Sc Be
1 1 2
direct
0.000 0.000 0.000
0.500 0.500 0.654
0.000 0.000 0.390
0.500 0.500 0.259
```

---

The following is a PBE-GGA calculation of a geometry-optimized YCu3Mo structure, from the Alexandria database.

## Properties
Total energy: -5.174 eV per atom

Cell and atoms, written as POSCAR:
```
YCu3Mo
1.0
4.665 0.000 0.000
0.000 4.665 0.000
0.000 0.000 4.665
Y Cu Mo
1 3 1
direct
0.000 0.000 0.000
0.000 0.500 0.500
0.500 0.000 0.500
0.500 0.500 0.000
0.500 0.500 0.500
```

---

The following is a PBE-GGA calculation of a geometry-optimized TePt structure, from the Alexandria database.

## Properties
Formation energy without anion corrections: -0.2320 eV per atom

Cell and atoms, written as POSCAR:
```
TePt
1.0
2.020 1.166 7.022
-2.020 1.166 7.022
0.000 -2.333 7.022
Te Pt
2 2
direct
0.236 0.236 0.236
0.764 0.764 0.764
0.373 0.373 0.373
0.627 0.627 0.627
```

---

The following is a PBE-GGA calculation of a geometry-optimized NaFe2CoP structure, from the Alexandria database.

## Properties
Total energy: -4.191 eV per atom

Cell and atoms, written as POSCAR:
```
NaFe2CoP
1.0
4.408 0.000 0.000
0.000 4.408 0.000
0.000 0.000 4.342
Na Fe Co P
1 2 1 1
direct
0.000 0.000 0.000
0.000 0.500 0.000
0.500 0.000 0.000
0.000 0.000 0.500
0.500 0.500 0.500
```

---

The following is a PBE-GGA calculation of a geometry-optimized NaAcTc2O8 structure, from the Alexandria database.

## Properties
Formation energy without anion corrections: -1.9242 eV per atom

Cell and atoms, written as POSCAR:
```
NaAcTc2O8
1.0
-2.738 2.738 6.056
2.738 -2.738 6.056
2.738 2.738 -6.056
Na Ac Tc O
1 1 2 8
direct
0.000 0.000 0.000
0.250 0.750 0.500
0.500 0.500 0.000
0.750 0.250 0.500
0.284 0.657 0.103
0.343 0.445 0.627
0.428 0.036 0.116
0.555 0.181 0.897
0.688 0.572 0.608
0.819 0.716 0.373
0.921 0.312 0.884
0.964 0.079 0.392
```

---

The following is a PBE-GGA calculation of a geometry-optimized Ag2Se structure, from the Alexandria database.

## Properties
Formation energy without anion corrections: 0.0017 eV per atom

Cell and atoms, written as POSCAR:
```
Ag2Se
1.0
7.232 0.000 0.000
-3.616 6.263 0.000
0.000 0.000 4.092
Ag Se
6 3
direct
0.000 0.263 0.000
0.000 0.594 0.500
0.263 0.000 0.000
0.406 0.406 0.500
0.594 0.000 0.500
0.737 0.737 0.000
0.000 0.000 0.500
0.333 0.667 0.000
0.667 0.333 0.000
```

---

The following is a PBE-GGA calculation of a geometry-optimized MgPt4 structure, from the Alexandria database.

## Properties
Total energy: -5.264 eV per atom

Cell and atoms, written as POSCAR:
```
MgPt4
1.0
-1.878 1.878 6.413
1.878 -1.878 6.413
1.878 1.878 -6.413
Mg Pt
1 4
direct
0.000 0.000 0.000
0.250 0.750 0.500
0.404 0.404 0.000
0.596 0.596 0.000
0.750 0.250 0.500
```

---

The following is a PBE-GGA calculation of a geometry-optimized NiBPC structure, from the Alexandria database.

## Properties
Total energy: -6.707 eV per atom

Cell and atoms, written as POSCAR:
```
NiBPC
1.0
4.208 -1.349 0.000
4.208 1.349 0.000
-1.979 0.000 4.306
Ni B P C
1 1 1 1
direct
0.000 0.000 0.000
0.557 0.557 0.421
0.385 0.385 0.605
0.148 0.148 0.448
```

---

no.,spin magnetization (μB/atom)
1,0.000
2,0.000
3,0.012
4,0.000
5,0.000
6,0.000
7,0.000
8,1.556
9,0.169
10,0.000
11,0.000
12,0.000